No. 1
The following is a PBE-GGA calculation of a geometry-optimized K4Sr structure, from Alexandria.

extended XYZ file:
```
5
Lattice="-0.6088 2.2634 -3.7082 -1.4781 -4.1214 -0.2707 -15.8518 6.5795 8.2121" Properties=species:S:1:pos:R:3 pbc="T T T"
K -13.6285 4.5580 5.0195
K -4.3102 0.1635 -0.7863
K -11.2152 2.4729 1.7570
K -6.7234 2.2486 2.4763
Sr 0.0000 0.0000 0.0000
```

Values from the calculation:
Energy above the most stable polymorph in this dataset   0.000 eV per formula unit
VASP energy   -0.08560 Ry/atom
DOS at the Fermi energy   4.8 states/eV per cell
DFT formation energy   0.050 eV/atom

=====

No. 2
The following is a PBE-GGA calculation of a geometry-optimized KSr5 structure, from Alexandria.

extended XYZ file:
```
6
Lattice="6.1104 4.4970 2.5842 -1.3087 5.8870 5.2791 2.6037 -0.7310 7.5449" Properties=species:S:1:pos:R:3 pbc="T T T"
K 0.0000 0.0000 0.0000
Sr 3.3278 6.3932 5.8641
Sr 5.2773 3.0956 6.9930
Sr 1.5806 3.7882 8.3358
Sr 1.8514 2.4132 3.8520
Sr 4.6252 6.0289 9.6234
```

Values from the calculation:
Energy above the most stable polymorph in this dataset   0.510 eV per formula unit
VASP energy   -0.10756 Ry/atom
DOS at the Fermi energy   5.5 states/eV per cell
DFT formation energy   0.121 eV/atom

=====

No. 3
The following is a PBE-GGA calculation of a geometry-optimized KSr5 structure, from Alexandria.

extended XYZ file:
```
6
Lattice="4.2432 0.0000 0.0000 0.0000 4.2432 0.0000 0.0000 0.0000 18.9982" Properties=species:S:1:pos:R:3 pbc="T T T"
K 2.1216 2.1216 0.0000
Sr 0.0000 0.0000 3.4447
Sr 2.1216 2.1216 6.4679
Sr 2.1216 2.1216 12.5302
Sr 0.0000 0.0000 15.5535
Sr 0.0000 0.0000 9.4991
```

Values from the calculation:
Energy above the most stable polymorph in this dataset   0.000 eV per formula unit
VASP energy   -0.11381 Ry/atom
DOS at the Fermi energy   6.8 states/eV per cell
DFT formation energy   0.036 eV/atom